Record 1
DFT (PBE) results for a geometry-optimized Zr7Tl3Cd structure.

Computed properties:
The density of states at the Fermi level comes out at 11.4 states/eV/f.u. Its uncorrected energy is -65.19 eV/cell. Its space-group type is C2/m, No. 12. As for the spin magnetization: 0.000 μB per formula unit.

extended XYZ file:
```
11
Lattice="5.437 -5.219 0.000 5.437 5.219 0.000 -2.469 0.000 4.755" Properties=species:S:1:pos:R:3 pbc="T T T"
Zr 0.000 0.000 0.000
Zr 2.570 2.264 1.441
Zr 1.232 0.000 3.958
Zr 5.834 2.264 3.314
Zr 2.570 -2.264 1.441
Zr 7.172 0.000 0.797
Zr 5.834 -2.264 3.314
Tl 5.437 2.334 0.000
Tl 4.202 0.000 2.377
Tl 5.437 -2.334 0.000
Cd -1.235 0.000 2.377
```

=====

Record 2
DFT (PBE) results for a geometry-optimized ZrTlCd structure.

Computed properties:
The density of states at the Fermi level comes out at 2.1 states/eV/f.u. Its uncorrected energy is -42.99 eV/cell. Its space-group type is F-43m, No. 216. As for the spin magnetization: 0.000 μB per formula unit.

extended XYZ file:
```
12
Lattice="6.885 0.000 0.000 0.000 6.885 0.000 0.000 0.000 6.885" Properties=species:S:1:pos:R:3 pbc="T T T"
Zr 0.000 0.000 0.000
Zr 0.000 3.443 3.443
Zr 3.443 0.000 3.443
Zr 3.443 3.443 0.000
Tl 1.721 1.721 1.721
Tl 1.721 5.164 5.164
Tl 5.164 1.721 5.164
Tl 5.164 5.164 1.721
Cd 1.721 1.721 5.164
Cd 1.721 5.164 1.721
Cd 5.164 1.721 1.721
Cd 5.164 5.164 5.164
```